{"formula": "LiVBi2", "functional": "PBE", "state": "optimized geometry", "lattice": [[-0.624, 1.154, -3.139], [-2.441, -1.434, -1.885], [-7.863, 6.552, 2.128]], "species": ["Bi", "Bi", "V", "Li"], "frac_coords": [[0.091, 0.091, 0.727], [0.909, 0.909, 0.273], [0.000, 0.000, 0.000], [0.500, 0.500, 0.500]], "dos_ef_per_ev_atom": 1.01, "e_form_ev_per_atom": 0.36, "final_energy_ev_per_atom": -4.339, "polymorph_energy_kj_per_mol_atoms": 31.6}



{"formula": "LiVBi2", "functional": "PBE", "state": "optimized geometry", "lattice": [[3.411, 0.000, 0.000], [0.000, 3.411, 0.000], [0.000, 0.000, 7.979]], "species": ["Bi", "Bi", "Li", "V"], "frac_coords": [[0.000, 0.000, 0.772], [0.000, 0.000, 0.228], [0.500, 0.500, 0.500], [0.500, 0.500, 0.000]], "dos_ef_per_ev_atom": 0.49, "e_form_ev_per_atom": 0.03, "final_energy_ev_per_atom": -4.666, "polymorph_energy_kj_per_mol_atoms": 0.0}



{"formula": "Li2VBi", "functional": "PBE", "state": "optimized geometry", "lattice": [[-1.934, 1.979, 2.998], [-0.463, -3.514, 2.021], [7.773, 0.788, 7.270]], "species": ["Bi", "Bi", "V", "V", "Li", "Li", "Li", "Li"], "frac_coords": [[0.750, 0.250, 0.500], [0.000, 0.000, 0.000], [0.500, 0.500, 0.000], [0.250, 0.750, 0.500], [0.120, 0.625, 0.250], [0.875, 0.880, 0.750], [0.375, 0.370, 0.750], [0.630, 0.125, 0.250]], "dos_ef_per_ev_atom": 1.18, "e_form_ev_per_atom": 0.27, "final_energy_ev_per_atom": -3.936}



{"formula": "LiVBi2", "functional": "PBE", "state": "optimized geometry", "lattice": [[6.642, 0.000, 0.000], [0.000, 6.642, 0.000], [3.321, 3.321, 5.914]], "species": ["Li", "Li", "Bi", "Bi", "Bi", "Bi", "V", "V"], "frac_coords": [[0.500, 0.500, 0.000], [0.250, 0.750, 0.500], [0.375, 0.337, 0.750], [0.875, 0.913, 0.750], [0.663, 0.125, 0.250], [0.087, 0.625, 0.250], [0.750, 0.250, 0.500], [0.000, 0.000, 0.000]], "dos_ef_per_ev_atom": 0.20, "e_form_ev_per_atom": 0.46, "final_energy_ev_per_atom": -4.236, "polymorph_energy_kj_per_mol_atoms": 41.5}